(1)
Here is an optimized crystal structure of K2AgW from the Alexandria database. Energies are from PBE.

```
K2AgW
1.0
-4.149 -0.115 -6.119
-6.540 -3.412 -0.502
4.941 5.032 2.221
Ag K W
1 2 1
Cartesian
-3.771 -0.170 -0.981
-0.327 -0.108 -0.203
-2.078 1.642 -3.482
-4.917 -1.622 -3.046
```

The calculation puts the uncorrected energy at -13.24 eV for the cell shown. As for the energy relative to the elements: 1190 meV/atom. Its total magnetization is 1.95 μB per cell.



(2)
Here is an optimized crystal structure of BiTeNF2 from the Alexandria database. Energies are from PBE.

```
BiTeNF2
1.0
-1.167 -0.572 4.407
-0.796 -4.456 -0.789
4.054 -0.894 0.957
F Bi Te N
2 1 1 1
Cartesian
-0.398 -2.228 -0.394
-0.583 -0.286 2.204
1.046 -2.961 2.288
0.000 0.000 0.000
2.027 -0.447 0.479
```

The calculation puts the uncorrected energy at -19.69 eV for the cell shown. The formation energy (no corrections) is -120 meV per atom. Its total magnetization is 0.00 μB per cell.